No. 1
The following is a PBE-GGA calculation of Ca2TcNi after structural relaxation, from the Alexandria database.

Cell: 6.9789 6.9789 6.9789 Å, 90.00 90.00 90.00°
Space group Fm-3m (No. 225)
Unique sites:
Ca (0.2500, 0.2500, 0.2500) x8
Tc (0.0000, 0.0000, 0.0000) x4
Ni (0.0000, 0.0000, 0.5000) x4

**Excess energy over the best structure of this formula in the dataset**: 440 meV per atom
**Raw total energy**: -70.510 eV for the cell shown
**E_form**: 2.52 eV per formula unit
**Density of states at the Fermi level**: 3.10 states/eV/atom
**Magnetic moment**: 2.24 μB per formula unit


No. 2
The following is a PBE-GGA calculation of Ca2TcNi after structural relaxation, from the Alexandria database.

Cell: 4.1351 4.4445 10.3819 Å, 90.00 90.00 90.00°
Space group Amm2 (No. 38)
Unique sites:
Ca (0.0000, 0.0000, 0.0000) x2
Ca (0.5000, 0.0000, 0.2920) x2
Tc (0.5000, 0.0000, 0.5996) x2
Ni (0.0000, 0.0000, 0.6940) x2

**Excess energy over the best structure of this formula in the dataset**: 86 meV per atom
**Raw total energy**: -38.084 eV for the cell shown
**E_form**: 1.11 eV per formula unit
**Density of states at the Fermi level**: 1.28 states/eV/atom
**Magnetic moment**: 0.65 μB per formula unit


No. 3
The following is a PBE-GGA calculation of CaTcNi2 after structural relaxation, from the Alexandria database.

Cell: 2.8372 2.8372 26.2451 Å, 90.00 90.00 120.00°
Space group R-3m (No. 166, hexagonal axes)
Unique sites:
Ca (0.0000, 0.0000, 0.0000) x3
Tc (0.0000, 0.0000, 0.5000) x3
Ni (0.0000, 0.0000, 0.2424) x6

**Excess energy over the best structure of this formula in the dataset**: 398 meV per atom
**Raw total energy**: -65.191 eV for the cell shown
**E_form**: 2.20 eV per formula unit
**Density of states at the Fermi level**: 1.71 states/eV/atom
**Magnetic moment**: 0.00 μB per formula unit


No. 4
The following is a PBE-GGA calculation of Ca2TcNi after structural relaxation, from the Alexandria database.

Cell: 11.1924 2.9356 5.3529 Å, 90.00 110.84 90.00°
Space group Cm (No. 8)
Unique sites:
Ca (0.0000, 0.0000, 0.0000) x2
Ca (0.1977, 0.0000, 0.6175) x2
Tc (0.2740, 0.5000, 0.1746) x2
Ni (0.4416, 0.0000, 0.4775) x2

**Excess energy over the best structure of this formula in the dataset**: 150 meV per atom
**Raw total energy**: -37.570 eV for the cell shown
**E_form**: 1.37 eV per formula unit
**Density of states at the Fermi level**: 0.93 states/eV/atom
**Magnetic moment**: 0.00 μB per formula unit


No. 5
The following is a PBE-GGA calculation of CaTc4Ni after structural relaxation, from the Alexandria database.

Cell: 7.3750 7.3750 7.3750 Å, 90.00 90.00 90.00°
Space group F-43m (No. 216)
Unique sites:
Ca (0.0000, 0.0000, 0.0000) x4
Tc (0.1242, 0.1242, 0.3758) x16
Ni (0.2500, 0.2500, 0.7500) x4

**Raw total energy**: -185.525 eV for the cell shown
**E_form**: 2.87 eV per formula unit
**Density of states at the Fermi level**: 1.44 states/eV/atom
**Magnetic moment**: 0.00 μB per formula unit


No. 6
The following is a PBE-GGA calculation of CaTc2Ni after structural relaxation, from the Alexandria database.

Cell: 2.7572 4.4885 10.4352 Å, 90.00 90.00 90.00°
Space group Immm (No. 71)
Unique sites:
Ca (0.0000, 0.0000, 0.0000) x2
Tc (0.0000, 0.5000, 0.2127) x4
Ni (0.0000, 0.0000, 0.5000) x2

**Excess energy over the best structure of this formula in the dataset**: 35 meV per atom
**Raw total energy**: -54.828 eV for the cell shown
**E_form**: 1.10 eV per formula unit
**Density of states at the Fermi level**: 0.63 states/eV/atom
**Magnetic moment**: 0.00 μB per formula unit


No. 7
The following is a PBE-GGA calculation of CaTc2Ni2 after structural relaxation, from the Alexandria database.

Cell: 7.6016 7.6016 2.6008 Å, 90.00 90.00 90.00°
Space group P4/mbm (No. 127)
Unique sites:
Ca (0.0000, 0.0000, 0.0000) x2
Tc (0.1718, 0.3282, 0.5000) x4
Ni (0.1190, 0.6190, 0.0000) x4

**Excess energy over the best structure of this formula in the dataset**: 94 meV per atom
**Raw total energy**: -65.763 eV for the cell shown
**E_form**: 1.41 eV per formula unit
**Density of states at the Fermi level**: 0.77 states/eV/atom
**Magnetic moment**: 0.00 μB per formula unit


No. 8
The following is a PBE-GGA calculation of CaTcNi2 after structural relaxation, from the Alexandria database.

Cell: 2.7372 4.2915 5.2523 Å, 90.00 99.56 90.00°
Space group Pm (No. 6)
Unique sites:
Ca (0.0000, 0.0000, 0.0000) x1
Tc (0.2228, 0.5000, 0.6080) x1
Ni (0.5792, 0.5000, 0.2000) x1
Ni (0.6418, 0.0000, 0.4876) x1

**Excess energy over the best structure of this formula in the dataset**: 79 meV per atom
**Raw total energy**: -23.004 eV for the cell shown
**E_form**: 0.93 eV per formula unit
**Density of states at the Fermi level**: 0.76 states/eV/atom
**Magnetic moment**: 0.00 μB per formula unit


No. 9
The following is a PBE-GGA calculation of CaTc2Ni after structural relaxation, from the Alexandria database.

Cell: 3.7232 3.7232 9.4388 Å, 90.00 90.00 90.00°
Space group I4/mmm (No. 139)
Unique sites:
Ca (0.0000, 0.0000, 0.0000) x2
Tc (0.0000, 0.5000, 0.2500) x4
Ni (0.0000, 0.0000, 0.5000) x2

**Excess energy over the best structure of this formula in the dataset**: 310 meV per atom
**Raw total energy**: -52.629 eV for the cell shown
**E_form**: 2.20 eV per formula unit
**Density of states at the Fermi level**: 1.17 states/eV/atom
**Magnetic moment**: 0.00 μB per formula unit


No. 10
The following is a PBE-GGA calculation of Ca2TcNi after structural relaxation, from the Alexandria database.

Cell: 3.3192 3.3192 8.4556 Å, 90.00 90.00 90.00°
Space group P4mm (No. 99)
Unique sites:
Ca (0.0000, 0.0000, 0.0000) x1
Ca (0.5000, 0.5000, 0.4010) x1
Tc (0.5000, 0.5000, 0.7479) x1
Ni (0.0000, 0.0000, 0.6437) x1

**Excess energy over the best structure of this formula in the dataset**: 112 meV per atom
**Raw total energy**: -18.939 eV for the cell shown
**E_form**: 1.21 eV per formula unit
**Density of states at the Fermi level**: 1.32 states/eV/atom
**Magnetic moment**: 1.90 μB per formula unit


No. 11
The following is a PBE-GGA calculation of CaTc2Ni after structural relaxation, from the Alexandria database.

Cell: 3.0700 4.7785 4.6184 Å, 90.00 100.21 90.00°
Space group P2/m (No. 10)
Unique sites:
Ca (0.0000, 0.0000, 0.0000) x1
Tc (0.3349, 0.5000, 0.7239) x2
Ni (0.5000, 0.0000, 0.5000) x1

**Excess energy over the best structure of this formula in the dataset**: 230 meV per atom
**Raw total energy**: -26.636 eV for the cell shown
**E_form**: 1.88 eV per formula unit
**Density of states at the Fermi level**: 1.14 states/eV/atom
**Magnetic moment**: 0.00 μB per formula unit


No. 12
The following is a PBE-GGA calculation of Ca2TcNi after structural relaxation, from the Alexandria database.

Cell: 7.8143 7.8143 5.7021 Å, 90.00 90.00 90.00°
Space group I-42d (No. 122)
Unique sites:
Ca (0.2140, 0.7500, 0.1250) x8
Tc (0.0000, 0.0000, 0.5000) x4
Ni (0.0000, 0.0000, 0.0000) x4

**Excess energy over the best structure of this formula in the dataset**: 580 meV per atom
**Raw total energy**: -68.261 eV for the cell shown
**E_form**: 3.09 eV per formula unit
**Density of states at the Fermi level**: 0.95 states/eV/atom
**Magnetic moment**: 2.40 μB per formula unit


No. 13
The following is a PBE-GGA calculation of CaTcNi2 after structural relaxation, from the Alexandria database.

Cell: 2.7151 4.5680 9.7667 Å, 90.00 90.00 90.00°
Space group Imm2 (No. 44)
Unique sites:
Ca (0.0000, 0.0000, 0.0000) x2
Tc (0.0000, 0.5000, 0.2106) x2
Ni (0.0000, 0.0000, 0.4894) x2
Ni (0.0000, 0.5000, 0.7732) x2

**Excess energy over the best structure of this formula in the dataset**: 159 meV per atom
**Raw total energy**: -45.370 eV for the cell shown
**E_form**: 1.25 eV per formula unit
**Density of states at the Fermi level**: 1.38 states/eV/atom
**Magnetic moment**: 0.54 μB per formula unit


No. 14
The following is a PBE-GGA calculation of CaTcNi2 after structural relaxation, from the Alexandria database.

Cell: 4.6836 4.6836 2.7137 Å, 90.00 90.00 90.00°
Space group P4/mmm (No. 123)
Unique sites:
Ca (0.0000, 0.0000, 0.0000) x1
Tc (0.5000, 0.5000, 0.0000) x1
Ni (0.0000, 0.5000, 0.5000) x2

**Excess energy over the best structure of this formula in the dataset**: 100 meV per atom
**Raw total energy**: -22.921 eV for the cell shown
**E_form**: 1.01 eV per formula unit
**Density of states at the Fermi level**: 0.74 states/eV/atom
**Magnetic moment**: 1.06 μB per formula unit